A relaxed structure of Fe4CuPd5. Source: Alexandria, functional PBE.

Density of states at the Fermi level: 7.41 states/eV per cell
Crystal system: tetragonal
Total moment: 1.3420 μB/atom
Symmetry: P4/mmm
Energy relative to the elements: -0.071 eV/atom
Energy: -64.62 eV/f.u.

```
Fe4CuPd5
1.0
2.735 0.000 0.000
0.000 2.735 0.000
0.000 0.000 18.577
Fe Cu Pd
4 1 5
direct
0.000 0.000 0.198
0.000 0.000 0.399
0.000 0.000 0.601
0.000 0.000 0.802
0.000 0.000 0.000
0.500 0.500 0.100
0.500 0.500 0.299
0.500 0.500 0.500
0.500 0.500 0.701
0.500 0.500 0.900
```